[1]
Here is a relaxed structure of CsHgPd from OQMD. Energies are from PBE.

Cell: 5.7134 5.7134 5.7134 Å, 60.00 60.00 60.00°
Last column: nearest neighbours and their distance in Å.
Element x y z (fractional)
Cs1 0.0000 0.0000 0.0000  4 Hg 3.50, 4 Pd 3.50
Hg1 0.7500 0.7500 0.7500  4 Cs 3.50
Pd1 0.2500 0.2500 0.2500  4 Cs 3.50

Computed properties:
Its polymorph energy (0 for the lowest one) is 1.19 eV/f.u. The space group is No. 216.

=====

[2]
Here is a relaxed structure of Cs2Hg3Pd2S8 from OQMD. Energies are from PBE.

Cell: 6.7690 7.8562 9.4831 Å, 102.95 95.33 111.18°
Last column: nearest neighbours and their distance in Å.
Element x y z (fractional)
Cs1 0.1136 0.4402 0.2462  6 S 3.58-3.75
Cs2 0.8864 0.5598 0.7538  6 S 3.58-3.75
Hg1 0.3031 0.0277 0.3607  3 S 2.46-2.62
Hg2 0.5000 0.0000 0.0000  2 S 2.37
Hg3 0.6969 0.9723 0.6393  3 S 2.46-2.62
Pd1 0.2441 0.1843 0.7543  4 S 2.25-2.36
Pd2 0.7559 0.8157 0.2457  4 S 2.25-2.36
S1 0.0392 0.8382 0.1307  1 Pd 2.27, 1 Hg 2.46
S2 0.2898 0.9181 0.6239  1 Pd 2.32
S3 0.3308 0.3140 0.5681  1 Pd 2.25
S4 0.4452 0.2801 0.9960  1 Pd 2.36, 1 Hg 2.37
S5 0.5548 0.7199 0.0040  1 Pd 2.36, 1 Hg 2.37
S6 0.6692 0.6860 0.4319  1 Pd 2.25
S7 0.7102 0.0819 0.3761  1 Pd 2.32
S8 0.9608 0.1618 0.8693  1 Pd 2.27, 1 Hg 2.46

Computed properties:
For the total energy, the calculation gives -3.260 eV per atom. The space group is No. 2.

=====

[3]
Here is a relaxed structure of CsHg3PdSe4 from OQMD. Energies are from PBE.

Cell: 6.8878 6.8878 6.8878 Å, 90.00 90.00 90.00°
Last column: nearest neighbours and their distance in Å.
Element x y z (fractional)
Cs1 0.0000 0.0000 0.0000  4 Se 3.46
Hg1 0.0000 0.5000 0.5000  4 Se 2.86
Hg2 0.5000 0.0000 0.5000  4 Se 2.86
Hg3 0.5000 0.5000 0.0000  4 Se 2.86
Pd1 0.5000 0.5000 0.5000  4 Se 2.50
Se1 0.2903 0.2903 0.2903  1 Pd 2.50
Se2 0.2903 0.7097 0.7097  1 Pd 2.50
Se3 0.7097 0.2903 0.7097  1 Pd 2.50
Se4 0.7097 0.7097 0.2903  1 Pd 2.50

Computed properties:
For the total energy, the calculation gives -2.489 eV per atom. The space group is No. 215.

=====

[4]
Here is a relaxed structure of CsPrHgS3 from OQMD. Energies are from PBE.

Cell: 8.8811 4.2950 10.7300 Å, 90.00 109.46 90.00°
Last column: nearest neighbours and their distance in Å.
Element x y z (fractional)
Cs1 0.2447 0.2500 0.2229  6 S 3.52-3.80
Cs2 0.7553 0.7500 0.7771  6 S 3.52-3.80
Pr1 0.1838 0.7500 0.6311  5 S 2.77-2.91
Pr2 0.8162 0.2500 0.3689  5 S 2.77-2.91
Hg1 0.4090 0.2500 0.8805  4 S 2.51-2.80
Hg2 0.5910 0.7500 0.1195  4 S 2.51-2.80
S1 0.0272 0.7500 0.3604  3 Pr 2.77-2.87
S2 0.2786 0.7500 0.9409  3 Hg 2.62-2.80
S3 0.4107 0.2500 0.6466  1 Hg 2.51
S4 0.5893 0.7500 0.3534  1 Hg 2.51
S5 0.7214 0.2500 0.0591  3 Hg 2.62-2.80
S6 0.9728 0.2500 0.6396  3 Pr 2.77-2.87

Computed properties:
For the total energy, the calculation gives -4.280 eV per atom. The space group is No. 11.

=====

> Number 4 is which compound?

CsPrHgS3